# KCoSiO4

A relaxed KCoSiO4 crystal (PBE+U, Alexandria via LeMat-Bulk).

## Properties
Calculated volume   14.1 Å³ per atom
Space-group type   No. 11
VASP energy   -6.296 eV per atom
Magnetization   4.0 μB/f.u.

Cell lengths 5.181, 5.587, 7.222 Å; angles 90.00, 109.74, 90.00 degrees
Positions (direct):
K  0.196  0.250  0.449
K  0.804  0.750  0.551
Co  0.310  0.250  0.976
Co  0.690  0.750  0.024
Si  0.232  0.750  0.140
Si  0.768  0.250  0.860
O  0.004  0.250  0.078
O  0.050  0.750  0.285
O  0.457  0.528  0.162
O  0.457  0.972  0.162
O  0.543  0.028  0.838
O  0.543  0.472  0.838
O  0.950  0.250  0.715
O  0.996  0.750  0.922